## Sr2CoOsN6 (GGA-PBE)

Data for a relaxed structure of Sr2CoOsN6.

Geometry as CIF:
```
data_Sr2CoOsN6
_cell_length_a 9.512
_cell_length_b 5.495
_cell_length_c 5.496
_cell_angle_alpha 90.00
_cell_angle_beta 125.28
_cell_angle_gamma 90.00
_space_group_name_H-M_alt 'C 1 2/m 1'
_space_group_IT_number 12
loop_
_space_group_symop_operation_xyz
'x,y,z'
'-x,-y,-z'
'-x,y,-z'
'x,-y,z'
'x+1/2,y+1/2,z'
'-x+1/2,-y+1/2,-z'
'-x+1/2,y+1/2,-z'
'x+1/2,-y+1/2,z'
loop_
_atom_site_label
_atom_site_fract_x
_atom_site_fract_y
_atom_site_fract_z
_atom_site_occupancy
Sr1 0.250 0.000 0.250 1
Co1 0.000 0.000 0.500 1
Os1 0.000 0.500 0.000 1
N1 0.003 0.249 0.255 1
N2 0.248 0.000 0.753 1
```

Properties
Energy in eV per atom: -6.84
Size of the total moment in μB per formula unit: 0.00
Crystal system: monoclinic



## Co3PN (GGA-PBE)

Data for a relaxed structure of Co3PN.

Geometry as CIF:
```
data_Co3PN
_cell_length_a 2.846
_cell_length_b 9.930
_cell_length_c 6.830
_cell_angle_alpha 90.00
_cell_angle_beta 90.00
_cell_angle_gamma 90.00
_space_group_name_H-M_alt 'C m c m'
_space_group_IT_number 63
_space_group_name_Hall '-C 2c 2'
loop_
_atom_site_label
_atom_site_fract_x
_atom_site_fract_y
_atom_site_fract_z
_atom_site_occupancy
Co1 0.000 0.059 0.250 1
Co2 0.000 0.360 0.046 1
P1 0.000 0.255 0.750 1
N1 0.000 0.000 0.000 1
```

Properties
Energy in eV per atom: -7.21
Size of the total moment in μB per formula unit: 0.00
Crystal system: orthorhombic



## Sc4CoPN2 (GGA-PBE)

Data for a relaxed structure of Sc4CoPN2.

Geometry as CIF:
```
data_Sc4CoPN2
_cell_length_a 3.2371
_cell_length_b 3.2371
_cell_length_c 12.5669
_cell_angle_alpha 90.00
_cell_angle_beta 90.00
_cell_angle_gamma 120.00
_space_group_name_H-M_alt 'P -6 m 2'
_space_group_IT_number 187
_space_group_name_Hall 'P -6 2'
loop_
_atom_site_label
_atom_site_fract_x
_atom_site_fract_y
_atom_site_fract_z
_atom_site_occupancy
Sc1 0.0000 0.0000 0.1491 1
Sc2 0.6667 0.3333 0.3493 1
Co1 0.0000 0.0000 0.5000 1
P1 0.6667 0.3333 0.0000 1
N1 0.3333 0.6667 0.2442 1
```

Properties
Energy in eV per atom: -7.97
Size of the total moment in μB per formula unit: 0.34
Crystal system: hexagonal



## Sc4CoPN2 (GGA-PBE)

Data for a relaxed structure of Sc4CoPN2.

Geometry as CIF:
```
data_Sc4CoPN2
_cell_length_a 3.2353
_cell_length_b 3.2353
_cell_length_c 12.5634
_cell_angle_alpha 90.00
_cell_angle_beta 90.00
_cell_angle_gamma 120.00
_space_group_name_H-M_alt 'P -6 m 2'
_space_group_IT_number 187
_space_group_name_Hall 'P -6 2'
loop_
_atom_site_label
_atom_site_fract_x
_atom_site_fract_y
_atom_site_fract_z
_atom_site_occupancy
Sc1 0.0000 0.0000 0.1491 1
Sc2 0.3333 0.6667 0.3493 1
Co1 0.0000 0.0000 0.5000 1
P1 0.3333 0.6667 0.0000 1
N1 0.6667 0.3333 0.2441 1
```

Properties
Energy in eV per atom: -7.97
Size of the total moment in μB per formula unit: 0.33
Crystal system: hexagonal



## Sc4CoPbN2 (GGA-PBE)

Data for a relaxed structure of Sc4CoPbN2.

Geometry as CIF:
```
data_Sc4CoPbN2
_cell_length_a 3.2499
_cell_length_b 3.2499
_cell_length_c 13.8192
_cell_angle_alpha 90.00
_cell_angle_beta 90.00
_cell_angle_gamma 120.00
_space_group_name_H-M_alt 'P -6 m 2'
_space_group_IT_number 187
_space_group_name_Hall 'P -6 2'
loop_
_atom_site_label
_atom_site_fract_x
_atom_site_fract_y
_atom_site_fract_z
_atom_site_occupancy
Sc1 0.0000 0.0000 0.1351 1
Sc2 0.3333 0.6667 0.3158 1
Co1 0.3333 0.6667 0.0000 1
Pb1 0.0000 0.0000 0.5000 1
N1 0.6667 0.3333 0.2389 1
```

Properties
Energy in eV per atom: -7.61
Size of the total moment in μB per formula unit: 0.31
Crystal system: hexagonal



## Ta4CoPbN2 (GGA-PBE)

Data for a relaxed structure of Ta4CoPbN2.

Geometry as CIF:
```
data_Ta4CoPbN2
_cell_length_a 3.1533
_cell_length_b 3.1533
_cell_length_c 13.5408
_cell_angle_alpha 90.00
_cell_angle_beta 90.00
_cell_angle_gamma 120.00
_space_group_name_H-M_alt 'P -6 m 2'
_space_group_IT_number 187
_space_group_name_Hall 'P -6 2'
loop_
_atom_site_label
_atom_site_fract_x
_atom_site_fract_y
_atom_site_fract_z
_atom_site_occupancy
Ta1 0.0000 0.0000 0.1393 1
Ta2 0.3333 0.6667 0.3169 1
Co1 0.3333 0.6667 0.0000 1
Pb1 0.0000 0.0000 0.5000 1
N1 0.6667 0.3333 0.2280 1
```

Properties
Energy in eV per atom: -9.67
Size of the total moment in μB per formula unit: 0.06
Crystal system: hexagonal



## Y4CoPbN2 (GGA-PBE)

Data for a relaxed structure of Y4CoPbN2.

Geometry as CIF:
```
data_Y4CoPbN2
_cell_length_a 3.5059
_cell_length_b 3.5059
_cell_length_c 14.6614
_cell_angle_alpha 90.00
_cell_angle_beta 90.00
_cell_angle_gamma 120.00
_space_group_name_H-M_alt 'P -6 m 2'
_space_group_IT_number 187
_space_group_name_Hall 'P -6 2'
loop_
_atom_site_label
_atom_site_fract_x
_atom_site_fract_y
_atom_site_fract_z
_atom_site_occupancy
Y1 0.0000 0.0000 0.1322 1
Y2 0.3333 0.6667 0.3198 1
Co1 0.3333 0.6667 0.0000 1
Pb1 0.0000 0.0000 0.5000 1
N1 0.6667 0.3333 0.2400 1
```

Properties
Energy in eV per atom: -7.54
Size of the total moment in μB per formula unit: 0.59
Crystal system: hexagonal



## Zr4CoPbN2 (GGA-PBE)

Data for a relaxed structure of Zr4CoPbN2.

Geometry as CIF:
```
data_Zr4CoPbN2
_cell_length_a 3.2839
_cell_length_b 3.2839
_cell_length_c 14.0281
_cell_angle_alpha 90.00
_cell_angle_beta 90.00
_cell_angle_gamma 120.00
_space_group_name_H-M_alt 'P -6 m 2'
_space_group_IT_number 187
_space_group_name_Hall 'P -6 2'
loop_
_atom_site_label
_atom_site_fract_x
_atom_site_fract_y
_atom_site_fract_z
_atom_site_occupancy
Zr1 0.0000 0.0000 0.1357 1
Zr2 0.6667 0.3333 0.3218 1
Co1 0.6667 0.3333 0.0000 1
Pb1 0.0000 0.0000 0.5000 1
N1 0.3333 0.6667 0.2294 1
```

Properties
Energy in eV per atom: -8.57
Size of the total moment in μB per formula unit: 0.52
Crystal system: hexagonal



## CoPd2N2 (GGA-PBE)

Data for a relaxed structure of CoPd2N2.

Geometry as CIF:
```
data_CoPd2N2
_cell_length_a 9.672
_cell_length_b 10.018
_cell_length_c 5.165
_cell_angle_alpha 90.00
_cell_angle_beta 90.00
_cell_angle_gamma 90.00
_space_group_name_H-M_alt 'F d d 2'
_space_group_IT_number 43
_space_group_name_Hall 'F 2 -2d'
loop_
_atom_site_label
_atom_site_fract_x
_atom_site_fract_y
_atom_site_fract_z
_atom_site_occupancy
Co1 0.000 0.000 0.000 1
Pd1 0.056 0.253 0.692 1
N1 0.119 0.062 0.785 1
```

Properties
Energy in eV per atom: -6.16
Size of the total moment in μB per formula unit: 0.14
Crystal system: orthorhombic



## CoPdPt2N6 (GGA-PBE)

Data for a relaxed structure of CoPdPt2N6.

Geometry as CIF:
```
data_CoPdPt2N6
_cell_length_a 6.798
_cell_length_b 9.692
_cell_length_c 3.242
_cell_angle_alpha 90.00
_cell_angle_beta 90.00
_cell_angle_gamma 90.00
_space_group_name_H-M_alt 'C m m m'
_space_group_IT_number 65
_space_group_name_Hall '-C 2 2'
loop_
_atom_site_label
_atom_site_fract_x
_atom_site_fract_y
_atom_site_fract_z
_atom_site_occupancy
Co1 0.000 0.000 0.000 1
Pd1 0.000 0.500 0.000 1
Pt1 0.250 0.250 0.500 1
N1 0.000 0.127 0.500 1
N2 0.246 0.381 0.000 1
```

Properties
Energy in eV per atom: -6.32
Size of the total moment in μB per formula unit: 0.00
Crystal system: orthorhombic



## Rb2CoPtN4 (GGA-PBE)

Data for a relaxed structure of Rb2CoPtN4.

Geometry as CIF:
```
data_Rb2CoPtN4
_cell_length_a 5.816
_cell_length_b 4.783
_cell_length_c 11.954
_cell_angle_alpha 90.00
_cell_angle_beta 90.00
_cell_angle_gamma 90.00
_space_group_name_H-M_alt 'A m m 2'
_space_group_IT_number 38
loop_
_space_group_symop_operation_xyz
'x,y,z'
'-x,-y,z'
'-x,y,z'
'x,-y,z'
'x,y+1/2,z+1/2'
'-x,-y+1/2,z+1/2'
'-x,y+1/2,z+1/2'
'x,-y+1/2,z+1/2'
loop_
_atom_site_label
_atom_site_fract_x
_atom_site_fract_y
_atom_site_fract_z
_atom_site_occupancy
Rb1 0.000 0.000 0.000 1
Rb2 0.500 0.000 0.371 1
Co1 0.000 0.000 0.710 1
Pt1 0.500 0.000 0.663 1
N1 0.220 0.000 0.588 1
N2 0.248 0.000 0.786 1
```

Properties
Energy in eV per atom: -5.43
Size of the total moment in μB per formula unit: 0.07
Crystal system: orthorhombic



## Rb2CoWN4 (GGA-PBE)

Data for a relaxed structure of Rb2CoWN4.

Geometry as CIF:
```
data_Rb2CoWN4
_cell_length_a 5.807
_cell_length_b 5.807
_cell_length_c 8.300
_cell_angle_alpha 90.00
_cell_angle_beta 90.00
_cell_angle_gamma 90.00
_space_group_name_H-M_alt 'I -4'
_space_group_IT_number 82
loop_
_space_group_symop_operation_xyz
'x,y,z'
'y,-x,-z'
'-x,-y,z'
'-y,x,-z'
'x+1/2,y+1/2,z+1/2'
'y+1/2,-x+1/2,-z+1/2'
'-x+1/2,-y+1/2,z+1/2'
'-y+1/2,x+1/2,-z+1/2'
loop_
_atom_site_label
_atom_site_fract_x
_atom_site_fract_y
_atom_site_fract_z
_atom_site_occupancy
Rb1 0.000 0.000 0.000 1
Rb2 0.000 0.500 0.250 1
Co1 0.000 0.000 0.500 1
W1 0.000 0.500 0.750 1
N1 0.066 0.243 0.622 1
```

Properties
Energy in eV per atom: -7.03
Size of the total moment in μB per formula unit: 0.17
Crystal system: tetragonal



## Co2SN3 (GGA-PBE)

Data for a relaxed structure of Co2SN3.

Geometry as CIF:
```
data_Co2SN3
_cell_length_a 2.742
_cell_length_b 6.806
_cell_length_c 6.705
_cell_angle_alpha 90.00
_cell_angle_beta 90.00
_cell_angle_gamma 90.00
_space_group_name_H-M_alt 'A m m 2'
_space_group_IT_number 38
loop_
_space_group_symop_operation_xyz
'x,y,z'
'-x,-y,z'
'-x,y,z'
'x,-y,z'
'x,y+1/2,z+1/2'
'-x,-y+1/2,z+1/2'
'-x,y+1/2,z+1/2'
'x,-y+1/2,z+1/2'
loop_
_atom_site_label
_atom_site_fract_x
_atom_site_fract_y
_atom_site_fract_z
_atom_site_occupancy
Co1 0.000 0.236 0.000 1
S1 0.000 0.000 0.641 1
N1 0.000 0.000 0.875 1
N2 0.000 0.091 0.249 1
```

Properties
Energy in eV per atom: -6.95
Size of the total moment in μB per formula unit: 0.00
Crystal system: orthorhombic



## Co4SN (GGA-PBE)

Data for a relaxed structure of Co4SN.

Geometry as CIF:
```
data_Co4SN
_cell_length_a 3.997
_cell_length_b 3.051
_cell_length_c 5.222
_cell_angle_alpha 90.00
_cell_angle_beta 91.90
_cell_angle_gamma 90.00
_space_group_name_H-M_alt 'P 1 2/m 1'
_space_group_IT_number 10
loop_
_space_group_symop_operation_xyz
'x,y,z'
'-x,-y,-z'
'-x,y,-z'
'x,-y,z'
loop_
_atom_site_label
_atom_site_fract_x
_atom_site_fract_y
_atom_site_fract_z
_atom_site_occupancy
Co1 0.240 0.000 0.202 1
Co2 0.244 0.500 0.637 1
S1 0.500 0.500 0.000 1
N1 0.000 0.000 0.500 1
```

Properties
Energy in eV per atom: -6.75
Size of the total moment in μB per formula unit: 0.13
Crystal system: monoclinic



## Co2S3N (GGA-PBE)

Data for a relaxed structure of Co2S3N.

Geometry as CIF:
```
data_Co2S3N
_cell_length_a 5.944
_cell_length_b 2.614
_cell_length_c 6.694
_cell_angle_alpha 90.00
_cell_angle_beta 116.25
_cell_angle_gamma 90.00
_space_group_name_H-M_alt 'P 1 m 1'
_space_group_IT_number 6
loop_
_space_group_symop_operation_xyz
'x,y,z'
'x,-y,z'
loop_
_atom_site_label
_atom_site_fract_x
_atom_site_fract_y
_atom_site_fract_z
_atom_site_occupancy
Co1 0.000 0.000 0.000 1
Co2 0.296 0.000 0.593 1
S1 0.308 0.000 0.920 1
S2 0.684 0.000 0.673 1
S3 0.878 0.000 0.298 1
N1 0.162 0.000 0.296 1
```

Properties
Energy in eV per atom: -5.54
Size of the total moment in μB per formula unit: 0.02
Crystal system: monoclinic



## Ta4CoSN2 (GGA-PBE)

Data for a relaxed structure of Ta4CoSN2.

Geometry as CIF:
```
data_Ta4CoSN2
_cell_length_a 3.1370
_cell_length_b 3.1370
_cell_length_c 12.3363
_cell_angle_alpha 90.00
_cell_angle_beta 90.00
_cell_angle_gamma 120.00
_space_group_name_H-M_alt 'P -6 m 2'
_space_group_IT_number 187
_space_group_name_Hall 'P -6 2'
loop_
_atom_site_label
_atom_site_fract_x
_atom_site_fract_y
_atom_site_fract_z
_atom_site_occupancy
Ta1 0.0000 0.0000 0.1486 1
Ta2 0.6667 0.3333 0.3473 1
Co1 0.0000 0.0000 0.5000 1
S1 0.6667 0.3333 0.0000 1
N1 0.3333 0.6667 0.2506 1
```

Properties
Energy in eV per atom: -9.98
Size of the total moment in μB per formula unit: 0.02
Crystal system: hexagonal



## Y4CoSN2 (GGA-PBE)

Data for a relaxed structure of Y4CoSN2.

Geometry as CIF:
```
data_Y4CoSN2
_cell_length_a 3.5520
_cell_length_b 3.5520
_cell_length_c 13.1315
_cell_angle_alpha 90.00
_cell_angle_beta 90.00
_cell_angle_gamma 120.00
_space_group_name_H-M_alt 'P -6 m 2'
_space_group_IT_number 187
_space_group_name_Hall 'P -6 2'
loop_
_atom_site_label
_atom_site_fract_x
_atom_site_fract_y
_atom_site_fract_z
_atom_site_occupancy
Y1 0.0000 0.0000 0.1453 1
Y2 0.3333 0.6667 0.3546 1
Co1 0.0000 0.0000 0.5000 1
S1 0.3333 0.6667 0.0000 1
N1 0.6667 0.3333 0.2358 1
```

Properties
Energy in eV per atom: -7.95
Size of the total moment in μB per formula unit: 0.16
Crystal system: hexagonal



## Zr4CoSN2 (GGA-PBE)

Data for a relaxed structure of Zr4CoSN2.

Geometry as CIF:
```
data_Zr4CoSN2
_cell_length_a 3.2936
_cell_length_b 3.2936
_cell_length_c 12.6477
_cell_angle_alpha 90.00
_cell_angle_beta 90.00
_cell_angle_gamma 120.00
_space_group_name_H-M_alt 'P -6 m 2'
_space_group_IT_number 187
_space_group_name_Hall 'P -6 2'
loop_
_atom_site_label
_atom_site_fract_x
_atom_site_fract_y
_atom_site_fract_z
_atom_site_occupancy
Zr1 0.0000 0.0000 0.1453 1
Zr2 0.6667 0.3333 0.3507 1
Co1 0.0000 0.0000 0.5000 1
S1 0.6667 0.3333 0.0000 1
N1 0.3333 0.6667 0.2487 1
```

Properties
Energy in eV per atom: -8.95
Size of the total moment in μB per formula unit: 0.24
Crystal system: hexagonal



## Sc4CoSbN2 (GGA-PBE)

Data for a relaxed structure of Sc4CoSbN2.

Geometry as CIF:
```
data_Sc4CoSbN2
_cell_length_a 3.2490
_cell_length_b 3.2490
_cell_length_c 13.5028
_cell_angle_alpha 90.00
_cell_angle_beta 90.00
_cell_angle_gamma 120.00
_space_group_name_H-M_alt 'P -6 m 2'
_space_group_IT_number 187
_space_group_name_Hall 'P -6 2'
loop_
_atom_site_label
_atom_site_fract_x
_atom_site_fract_y
_atom_site_fract_z
_atom_site_occupancy
Sc1 0.0000 0.0000 0.1377 1
Sc2 0.3333 0.6667 0.3226 1
Co1 0.3333 0.6667 0.0000 1
Sb1 0.0000 0.0000 0.5000 1
N1 0.6667 0.3333 0.2432 1
```

Properties
Energy in eV per atom: -7.71
Size of the total moment in μB per formula unit: 0.52
Crystal system: hexagonal



## Y4CoSbN2 (GGA-PBE)

Data for a relaxed structure of Y4CoSbN2.

Geometry as CIF:
```
data_Y4CoSbN2
_cell_length_a 3.5423
_cell_length_b 3.5423
_cell_length_c 14.3492
_cell_angle_alpha 90.00
_cell_angle_beta 90.00
_cell_angle_gamma 120.00
_space_group_name_H-M_alt 'P -6 m 2'
_space_group_IT_number 187
_space_group_name_Hall 'P -6 2'
loop_
_atom_site_label
_atom_site_fract_x
_atom_site_fract_y
_atom_site_fract_z
_atom_site_occupancy
Y1 0.0000 0.0000 0.1348 1
Y2 0.6667 0.3333 0.3274 1
Co1 0.6667 0.3333 0.0000 1
Sb1 0.0000 0.0000 0.5000 1
N1 0.3333 0.6667 0.2450 1
```

Properties
Energy in eV per atom: -7.65
Size of the total moment in μB per formula unit: 0.49
Crystal system: hexagonal